Here is crystalline La2PmPr6Dy3 at its relaxed geometry from the Alexandria database. Energies are from PBE. Values from VASP.

V: 420.49 Å³/cell
DOS at the Fermi energy: 1.505 states/eV/atom
DFT total energy: -4.74 eV per atom
symmetry: No. 12

```
&SYSTEM
  ibrav = 0, nat = 12, ntyp = 4
/
ATOMIC_SPECIES
La 138.91 La.upf
Pm 145.00 Pm.upf
Pr 140.91 Pr.upf
Dy 162.50 Dy.upf
ATOMIC_POSITIONS crystal
La 0.3333 0.6667 0.0000
La 0.6667 0.3333 0.0000
Pm 0.0000 0.0000 0.0000
Pr 0.9147 0.5819 0.7447
Pr 0.7523 0.7523 0.2552
Pr 0.0853 0.4181 0.2553
Pr 0.5819 0.9147 0.7447
Pr 0.2477 0.2477 0.7448
Pr 0.4181 0.0853 0.2553
Dy 0.1664 0.8336 0.5000
Dy 0.8336 0.1664 0.5000
Dy 0.5000 0.5000 0.5000
CELL_PARAMETERS angstrom
6.3788 -0.0030 0.0023
-3.1904 5.5236 0.0023
-1.0690 -1.8509 11.9361
```

Here is crystalline TiAs2RhSe at its relaxed geometry from the Alexandria database. Energies are from PBE. Values from VASP.

V: 111.02 Å³/cell
DOS at the Fermi energy: 0.876 states/eV/atom
ΔE to the lowest computed polymorph: 0.000 eV/atom
DFT total energy: -5.18 eV per atom
symmetry: No. 123
raw formation energy: 430 meV per atom

```
&SYSTEM
  ibrav = 0, nat = 5, ntyp = 4
/
ATOMIC_SPECIES
As 74.92 As.upf
Rh 102.91 Rh.upf
Se 78.96 Se.upf
Ti 47.87 Ti.upf
ATOMIC_POSITIONS crystal
As 0.0000 0.5000 0.0000
As 0.5000 0.0000 0.0000
Rh 0.5000 0.5000 0.5000
Se 0.0000 0.0000 0.5000
Ti 0.0000 0.0000 0.0000
CELL_PARAMETERS angstrom
-0.7882 -4.4677 1.6215
4.7350 -0.5958 0.6602
-0.4087 1.6894 4.4562
```

Here is crystalline Nd2Th2Rh3 at its relaxed geometry from the Alexandria database. Energies are from PBE. Values from VASP.

V: 196.30 Å³/cell
DOS at the Fermi energy: 0.694 states/eV/atom
DFT total energy: -7.33 eV per atom
symmetry: No. 2

```
&SYSTEM
  ibrav = 0, nat = 7, ntyp = 3
/
ATOMIC_SPECIES
Nd 144.24 Nd.upf
Th 232.04 Th.upf
Rh 102.91 Rh.upf
ATOMIC_POSITIONS crystal
Nd 0.8686 0.7397 0.6331
Nd 0.1314 0.2603 0.3669
Th 0.6295 0.2605 0.8974
Th 0.3705 0.7395 0.1026
Rh 0.0000 0.0000 0.0000
Rh 0.7612 0.5203 0.2507
Rh 0.2388 0.4797 0.7493
CELL_PARAMETERS angstrom
4.0900 -0.0048 -0.0003
-2.0391 6.7232 -0.0635
-0.0058 -1.0819 7.1514
```

Here is crystalline YAlB4 at its relaxed geometry from the Alexandria database. Energies are from PBE. Values from VASP.

V: 246.03 Å³/cell
DOS at the Fermi energy: 0.161 states/eV/atom
DFT total energy: -6.64 eV per atom
symmetry: No. 55

```
&SYSTEM
  ibrav = 0, nat = 24, ntyp = 3
/
ATOMIC_SPECIES
Y 88.91 Y.upf
Al 26.98 Al.upf
B 10.81 B.upf
ATOMIC_POSITIONS crystal
Y 0.0000 0.6287 0.3501
Y 0.0000 0.3713 0.6499
Y 0.0000 0.1287 0.1499
Y 0.0000 0.8713 0.8501
Al 0.0000 0.6377 0.0899
Al 0.0000 0.3623 0.9101
Al 0.0000 0.1377 0.4101
Al 0.0000 0.8623 0.5899
B 0.5000 0.7893 0.1871
B 0.5000 0.2107 0.8129
B 0.5000 0.2893 0.3129
B 0.5000 0.7107 0.6871
B 0.5000 0.8659 0.0309
B 0.5000 0.1341 0.9691
B 0.5000 0.3659 0.4691
B 0.5000 0.6341 0.5309
B 0.5000 0.8865 0.4532
B 0.5000 0.1135 0.5468
B 0.5000 0.3865 0.0468
B 0.5000 0.6135 0.9532
B 0.5000 0.9735 0.3076
B 0.5000 0.0265 0.6924
B 0.5000 0.4735 0.1924
B 0.5000 0.5265 0.8076
CELL_PARAMETERS angstrom
-2.1178 0.4933 -2.8326
0.9818 -5.6263 -1.7139
-9.1065 -3.4786 6.2029
```

Here is crystalline MgAl3P at its relaxed geometry from the Alexandria database. Energies are from PBE. Values from VASP.

V: 124.64 Å³/cell
DOS at the Fermi energy: 0.397 states/eV/atom
ΔE to the lowest computed polymorph: 0.727 eV/atom
DFT total energy: -2.54 eV per atom
symmetry: No. 221

```
&SYSTEM
  ibrav = 0, nat = 5, ntyp = 3
/
ATOMIC_SPECIES
P 30.97 P.upf
Mg 24.30 Mg.upf
Al 26.98 Al.upf
ATOMIC_POSITIONS crystal
P 0.5000 0.5000 0.5000
Mg 0.0000 0.0000 0.0000
Al 0.0000 0.5000 0.0000
Al 0.0000 0.0000 0.5000
Al 0.5000 0.0000 0.0000
CELL_PARAMETERS angstrom
4.9951 0.0000 0.0000
0.0000 4.9951 0.0000
0.0000 0.0000 4.9951
```

Here is crystalline CaZn4GePt2 at its relaxed geometry from the Alexandria database. Energies are from PBE. Values from VASP.

V: 145.74 Å³/cell
DOS at the Fermi energy: 0.288 states/eV/atom
DFT total energy: -3.31 eV per atom
symmetry: No. 166

```
&SYSTEM
  ibrav = 0, nat = 8, ntyp = 4
/
ATOMIC_SPECIES
Ca 40.08 Ca.upf
Zn 65.41 Zn.upf
Ge 72.64 Ge.upf
Pt 195.08 Pt.upf
ATOMIC_POSITIONS crystal
Ca 0.0000 0.0000 0.0000
Zn 0.3997 0.3997 0.8009
Zn 0.8789 0.8789 0.3634
Zn 0.1211 0.1211 0.6366
Zn 0.6003 0.6003 0.1991
Ge 0.5000 0.5000 0.5000
Pt 0.7498 0.7498 0.7506
Pt 0.2502 0.2502 0.2494
CELL_PARAMETERS angstrom
-1.4280 -0.4817 -4.0513
-0.1132 -3.9288 -1.7990
-8.8912 -2.6449 1.1425
```

Here is crystalline Ce2SmNpN4 at its relaxed geometry from the Alexandria database. Energies are from PBE. Values from VASP.

V: 125.69 Å³/cell
DOS at the Fermi energy: 1.365 states/eV/atom
DFT total energy: -9.25 eV per atom
symmetry: No. 10
raw formation energy: -1394 meV per atom

```
&SYSTEM
  ibrav = 0, nat = 8, ntyp = 4
/
ATOMIC_SPECIES
Ce 140.12 Ce.upf
Sm 150.36 Sm.upf
Np 237.00 Np.upf
N 14.01 N.upf
ATOMIC_POSITIONS crystal
Ce 0.5000 0.0000 0.5000
Ce 0.0000 0.5000 0.5000
Sm 0.5000 0.5000 0.0000
Np 0.0000 0.0000 0.0000
N 0.5000 0.2335 0.2360
N 0.5000 0.7665 0.7640
N 0.0000 0.2342 0.7566
N 0.0000 0.7658 0.2434
CELL_PARAMETERS angstrom
3.5428 0.0000 0.0000
0.0000 6.1246 0.1091
0.0000 -2.1382 5.7546
```

Here is crystalline Tb3PrSm at its relaxed geometry from the Alexandria database. Energies are from PBE. Values from VASP.

V: 331.43 Å³/cell
DOS at the Fermi energy: 1.437 states/eV/atom
DFT total energy: -4.66 eV per atom
symmetry: No. 2

```
&SYSTEM
  ibrav = 0, nat = 10, ntyp = 3
/
ATOMIC_SPECIES
Tb 158.93 Tb.upf
Pr 140.91 Pr.upf
Sm 150.36 Sm.upf
ATOMIC_POSITIONS crystal
Tb 0.9498 0.5516 0.1999
Tb 0.8492 0.6485 0.5977
Tb 0.6501 0.8498 0.3996
Tb 0.3499 0.1502 0.6004
Tb 0.0502 0.4484 0.8001
Tb 0.1508 0.3515 0.4023
Pr 0.4487 0.0499 0.2013
Pr 0.5513 0.9501 0.7987
Sm 0.2510 0.2525 0.0006
Sm 0.7490 0.7475 0.9994
CELL_PARAMETERS angstrom
-0.5551 6.2030 -0.4491
-4.2350 -3.0251 -7.9953
-1.3953 -2.6504 9.0743
```

Here is crystalline LaCdGa2Au at its relaxed geometry from the Alexandria database. Energies are from PBE. Values from VASP.

V: 142.89 Å³/cell
DOS at the Fermi energy: 0.543 states/eV/atom
DFT total energy: -3.10 eV per atom
symmetry: No. 123

```
&SYSTEM
  ibrav = 0, nat = 5, ntyp = 4
/
ATOMIC_SPECIES
Cd 112.41 Cd.upf
Au 196.97 Au.upf
Ga 69.72 Ga.upf
La 138.91 La.upf
ATOMIC_POSITIONS crystal
Cd 0.5000 0.5000 0.5000
Au 0.0000 0.0000 0.0000
Ga 0.0000 0.0000 0.5000
Ga 0.5000 0.0000 0.0000
La 0.0000 0.5000 0.0000
CELL_PARAMETERS angstrom
-2.7615 -1.2516 -3.9277
-4.1833 -1.8996 3.5466
-2.0503 4.5184 0.0017
```

Here is crystalline PaIO3 at its relaxed geometry from the Alexandria database. Energies are from PBE. Values from VASP.

V: 86.34 Å³/cell
DOS at the Fermi energy: 0.552 states/eV/atom
DFT total energy: -7.28 eV per atom
symmetry: No. 221
raw formation energy: -2096 meV per atom

```
&SYSTEM
  ibrav = 0, nat = 5, ntyp = 3
/
ATOMIC_SPECIES
I 126.90 I.upf
Pa 231.04 Pa.upf
O 16.00 O.upf
ATOMIC_POSITIONS crystal
I 0.5000 0.5000 0.5000
Pa 0.0000 0.0000 0.0000
O 0.0000 0.5000 0.0000
O 0.0000 0.0000 0.5000
O 0.5000 0.0000 0.0000
CELL_PARAMETERS angstrom
-2.3349 -0.3320 3.7380
-1.2174 -4.0974 -1.1244
3.5498 -1.6236 2.0731
```

Here is crystalline Pr5NdCd6 at its relaxed geometry from the Alexandria database. Energies are from PBE. Values from VASP.

V: 350.13 Å³/cell
DOS at the Fermi energy: 1.222 states/eV/atom
DFT total energy: -3.16 eV per atom
symmetry: No. 10

```
&SYSTEM
  ibrav = 0, nat = 12, ntyp = 3
/
ATOMIC_SPECIES
Pr 140.91 Pr.upf
Nd 144.24 Nd.upf
Cd 112.41 Cd.upf
ATOMIC_POSITIONS crystal
Pr 0.6670 0.5000 0.6660
Pr 0.3334 0.0000 0.3331
Pr 0.0000 0.5000 0.0000
Pr 0.6666 0.0000 0.6669
Pr 0.3330 0.5000 0.3340
Nd 0.0000 0.0000 0.0000
Cd 0.8341 0.7511 0.3320
Cd 0.8341 0.2489 0.3320
Cd 0.5000 0.2485 0.0000
Cd 0.5000 0.7515 0.0000
Cd 0.1659 0.7511 0.6680
Cd 0.1659 0.2489 0.6680
CELL_PARAMETERS angstrom
5.1894 -0.0310 1.7384
0.0419 7.7865 0.0140
0.0093 -0.0156 8.6680
```

Here is crystalline InSF2 at its relaxed geometry from the Alexandria database. Energies are from PBE. Values from VASP.

V: 65.75 Å³/cell
DOS at the Fermi energy: 0.413 states/eV/atom
ΔE to the lowest computed polymorph: 0.528 eV/atom
DFT total energy: -3.16 eV per atom
symmetry: No. 166
raw formation energy: -511 meV per atom

```
&SYSTEM
  ibrav = 0, nat = 4, ntyp = 3
/
ATOMIC_SPECIES
S 32.06 S.upf
F 19.00 F.upf
In 114.82 In.upf
ATOMIC_POSITIONS crystal
S 0.5000 0.5000 0.5000
F 0.9165 0.9165 0.9165
F 0.0835 0.0835 0.0835
In 0.0000 0.0000 0.0000
CELL_PARAMETERS angstrom
1.7389 0.0000 8.3694
-0.8695 1.5059 8.3694
-0.8695 -1.5059 8.3694
```

Here is crystalline TbPr6SmHo2 at its relaxed geometry from the Alexandria database. Energies are from PBE. Values from VASP.

V: 696.15 Å³/cell
DOS at the Fermi energy: 1.491 states/eV/atom
DFT total energy: -4.60 eV per atom
symmetry: No. 15

```
&SYSTEM
  ibrav = 0, nat = 20, ntyp = 4
/
ATOMIC_SPECIES
Tb 158.93 Tb.upf
Pr 140.91 Pr.upf
Sm 150.36 Sm.upf
Ho 164.93 Ho.upf
ATOMIC_POSITIONS crystal
Tb 0.2500 0.9712 0.0288
Tb 0.7500 0.0288 0.9712
Pr 0.0546 0.1115 0.7606
Pr 0.4454 0.2394 0.8885
Pr 0.9454 0.8885 0.2394
Pr 0.5546 0.7606 0.1115
Pr 0.3138 0.9888 0.4352
Pr 0.1862 0.5648 0.0112
Pr 0.6862 0.0112 0.5648
Pr 0.8138 0.4352 0.9888
Pr 0.1190 0.7048 0.4900
Pr 0.3810 0.5100 0.2952
Pr 0.8810 0.2952 0.5100
Pr 0.6190 0.4900 0.7048
Sm 0.2500 0.4087 0.5913
Sm 0.7500 0.5913 0.4087
Ho 0.4532 0.8028 0.7077
Ho 0.0468 0.2923 0.1972
Ho 0.5468 0.1972 0.2923
Ho 0.9532 0.7077 0.8028
CELL_PARAMETERS angstrom
9.3024 -2.0951 -2.1742
0.8070 8.7349 -2.0326
0.8070 -2.3549 8.6536
```

Here is crystalline YRe2SnSe at its relaxed geometry from the Alexandria database. Energies are from PBE. Values from VASP.

V: 144.44 Å³/cell
DOS at the Fermi energy: 1.105 states/eV/atom
DFT total energy: -5.37 eV per atom
symmetry: No. 123
raw formation energy: 2404 meV per atom

```
&SYSTEM
  ibrav = 0, nat = 5, ntyp = 4
/
ATOMIC_SPECIES
Y 88.91 Y.upf
Re 186.21 Re.upf
Sn 118.71 Sn.upf
Se 78.96 Se.upf
ATOMIC_POSITIONS crystal
Y 0.0000 0.0000 0.0000
Re 0.0000 0.0000 0.5000
Re 0.5000 0.0000 0.0000
Sn 0.0000 0.5000 0.0000
Se 0.5000 0.5000 0.5000
CELL_PARAMETERS angstrom
5.0306 0.0000 0.0000
0.0000 5.7077 0.0000
0.0000 0.0000 5.0306
```